1.
Here is an optimized crystal structure of NpTl2CdBr8 from the Alexandria database. Energies are from PBE.

Cell lengths 7.0373, 8.9526, 7.3708 Å; angles 90.00, 93.52, 90.00 degrees
Closest atoms and distances in Å follow each position.
Element x y z (fractional)
Np 0.0000 0.0000 0.0000  6 Br 2.76-2.80
Tl 0.5000 0.2592 0.5000  6 Br 3.28-3.45
Tl 0.5000 0.7408 0.5000  6 Br 3.28-3.45
Cd 0.0000 0.5000 0.0000  2 Br 2.58
Br 0.2002 0.5000 0.3052  1 Cd 2.58
Br 0.2107 0.0000 0.3291  1 Np 2.76
Br 0.2289 0.2280 0.8727  1 Np 2.80, 1 Cd 3.10
Br 0.2289 0.7720 0.8727  1 Np 2.80, 1 Cd 3.10
Br 0.7711 0.2280 0.1273  1 Np 2.80, 1 Cd 3.10
Br 0.7711 0.7720 0.1273  1 Np 2.80, 1 Cd 3.10
Br 0.7893 0.0000 0.6709  1 Np 2.76
Br 0.7998 0.5000 0.6948  1 Cd 2.58

Computed properties:
**Symmetry**: No. 10

---

2.
Here is an optimized crystal structure of NpTlCdBr6 from the Alexandria database. Energies are from PBE.

Cell lengths 7.4435, 7.4435, 14.3510 Å; angles 90.00, 90.00, 120.00 degrees
Closest atoms and distances in Å follow each position.
Element x y z (fractional)
Np 0.3333 0.6667 0.2500  6 Br 2.90
Np 0.6667 0.3333 0.7500  6 Br 2.90
Tl 0.0000 0.0000 0.0000  6 Br 3.38
Tl 0.0000 0.0000 0.5000  6 Br 3.38
Cd 0.3333 0.6667 0.7500  6 Br 2.83
Cd 0.6667 0.3333 0.2500  6 Br 2.83
Br 0.0072 0.3733 0.6367  1 Cd 2.83, 1 Np 2.90
Br 0.0072 0.6339 0.8633  1 Cd 2.83, 1 Np 2.90
Br 0.3661 0.3733 0.8633  1 Cd 2.83, 1 Np 2.90
Br 0.3661 0.9928 0.6367  1 Cd 2.83, 1 Np 2.90
Br 0.3733 0.0072 0.1367  1 Cd 2.83, 1 Np 2.90
Br 0.3733 0.3661 0.3633  1 Cd 2.83, 1 Np 2.90
Br 0.6267 0.6339 0.6367  1 Cd 2.83, 1 Np 2.90
Br 0.6267 0.9928 0.8633  1 Cd 2.83, 1 Np 2.90
Br 0.6339 0.0072 0.3633  1 Cd 2.83, 1 Np 2.90
Br 0.6339 0.6267 0.1367  1 Cd 2.83, 1 Np 2.90
Br 0.9928 0.3661 0.1367  1 Cd 2.83, 1 Np 2.90
Br 0.9928 0.6267 0.3633  1 Cd 2.83, 1 Np 2.90

Computed properties:
**Symmetry**: No. 163

---

3.
Here is an optimized crystal structure of Cd4Br5O from the Alexandria database. Energies are from PBE.

Cell lengths 9.7814, 9.7814, 7.7208 Å; angles 101.62, 101.62, 23.02 degrees
Closest atoms and distances in Å follow each position.
Element x y z (fractional)
Cd 0.0005 0.0005 0.2079  2 O 2.53
Cd 0.9995 0.9995 0.7921  2 O 2.53
Cd 0.3741 0.3741 0.9365  1 O 2.36
Cd 0.6259 0.6259 0.0635  1 O 2.36
Br 0.1560 0.1560 0.3224  3 Cd 2.77-2.93
Br 0.1574 0.1574 0.8358  3 Cd 2.78-2.97
Br 0.5000 0.5000 0.5000  4 Cd 2.98
Br 0.8426 0.8426 0.1642  3 Cd 2.78-2.97
Br 0.8440 0.8440 0.6776  3 Cd 2.77-2.93
O 0.5000 0.5000 0.0000  6 Cd 2.36-2.53

Computed properties:
**Symmetry**: No. 12

---

4.
Here is an optimized crystal structure of CdBrO3 from the Alexandria database. Energies are from PBE.

Cell lengths 4.1348, 4.1348, 4.1348 Å; angles 90.00, 90.00, 90.00 degrees
Closest atoms and distances in Å follow each position.
Element x y z (fractional)
Cd 0.0000 0.0000 0.0000  6 O 2.07
Br 0.5000 0.5000 0.5000  12 O 2.92
O 0.0000 0.0000 0.5000  2 Cd 2.07
O 0.0000 0.5000 0.0000  2 Cd 2.07
O 0.5000 0.0000 0.0000  2 Cd 2.07

Computed properties:
**Symmetry**: No. 221

---

5.
Here is an optimized crystal structure of CdBr2O4 from the Alexandria database. Energies are from PBE.

Cell lengths 3.6138, 6.8449, 10.9549 Å; angles 101.42, 92.58, 98.53 degrees
Closest atoms and distances in Å follow each position.
Element x y z (fractional)
Cd 0.0000 0.0000 0.0000  5 O 2.25-2.43
Cd 0.0822 0.2587 0.5563  5 O 2.27-2.43
Br 0.1540 0.7754 0.7336  1 O 1.83
Br 0.5453 0.9797 0.2880  2 O 1.77-1.82
Br 0.6696 0.3281 0.8223  2 O 1.81-1.83
Br 0.6824 0.5850 0.1342  1 O 1.82
O 0.1820 0.5565 0.4089  1 O 1.25
O 0.3679 0.7219 0.4620  1 O 1.25
O 0.5364 0.0753 0.1493  1 Br 1.77
O 0.5377 0.1377 0.9157  1 Br 1.83
O 0.5462 0.1624 0.6702  1 Br 1.81
O 0.5459 0.1899 0.4194  1 Br 1.82
O 0.8754 0.6681 0.9994  1 Br 1.82
O 0.8764 0.5233 0.6789  1 Br 1.83

Computed properties:
**Symmetry**: No. 1

---

6.
Here is an optimized crystal structure of Cd2BrO from the Alexandria database. Energies are from PBE.

Cell lengths 6.9626, 6.9626, 6.9626 Å; angles 31.33, 31.33, 31.33 degrees
Closest atoms and distances in Å follow each position.
Element x y z (fractional)
Cd 0.2246 0.2246 0.2246  3 O 2.46
Cd 0.7754 0.7754 0.7754  3 O 2.46
Br 0.0000 0.0000 0.0000  6 Cd 3.06
O 0.5000 0.5000 0.5000  6 Cd 2.46

Computed properties:
**Symmetry**: No. 166

---

7.
Here is an optimized crystal structure of Cd4Br3O2 from the Alexandria database. Energies are from PBE.

Cell lengths 7.2351, 7.2351, 10.2489 Å; angles 116.18, 116.18, 30.72 degrees
Closest atoms and distances in Å follow each position.
Element x y z (fractional)
Cd 0.0009 0.0009 0.2175  1 O 2.17
Cd 0.2458 0.2458 0.6269  3 O 2.25-2.30
Cd 0.7542 0.7542 0.3731  3 O 2.25-2.30
Cd 0.9991 0.9991 0.7825  1 O 2.17
Br 0.3719 0.3719 0.2718  4 Cd 2.85-3.00
Br 0.5000 0.5000 0.0000  4 Cd 2.94
Br 0.6281 0.6281 0.7282  4 Cd 2.85-3.00
O 0.1701 0.1701 0.3747  4 Cd 2.17-2.30
O 0.8299 0.8299 0.6253  4 Cd 2.17-2.30

Computed properties:
**Symmetry**: No. 12

---

8.
Here is an optimized crystal structure of CdBr2O from the Alexandria database. Energies are from PBE.

Cell lengths 4.9304, 4.9304, 4.9304 Å; angles 60.00, 60.00, 60.00 degrees
Closest atoms and distances in Å follow each position.
Element x y z (fractional)
Cd 0.0000 0.0000 0.0000  8 Br 3.02
Br 0.2500 0.2500 0.2500  4 O 3.02, 4 Cd 3.02
Br 0.7500 0.7500 0.7500  4 O 3.02, 4 Cd 3.02
O 0.5000 0.5000 0.5000  8 Br 3.02

Computed properties:
**Symmetry**: No. 225

---

9.
Here is an optimized crystal structure of CdBr2O6 from the Alexandria database. Energies are from PBE.

Cell lengths 7.0121, 7.0121, 7.3882 Å; angles 110.07, 110.07, 86.64 degrees
Closest atoms and distances in Å follow each position.
Element x y z (fractional)
Cd 0.0518 0.9482 0.7500  6 O 2.33-2.39
Cd 0.9482 0.0518 0.2500  6 O 2.33-2.39
Br 0.1799 0.4275 0.7530  3 O 1.65-1.75
Br 0.4275 0.1799 0.2530  3 O 1.65-1.75
Br 0.5725 0.8201 0.7470  3 O 1.65-1.75
Br 0.8201 0.5725 0.2470  3 O 1.65-1.75
O 0.0147 0.6110 0.7335  1 Br 1.69
O 0.0188 0.2060 0.6114  1 Br 1.75
O 0.2060 0.0188 0.1114  1 Br 1.75
O 0.2536 0.4286 0.9904  1 Br 1.65
O 0.3890 0.9853 0.7665  1 Br 1.69
O 0.4286 0.2536 0.4904  1 Br 1.65
O 0.5714 0.7464 0.5096  1 Br 1.65
O 0.6110 0.0147 0.2335  1 Br 1.69
O 0.7464 0.5714 0.0096  1 Br 1.65
O 0.7940 0.9812 0.8886  1 Br 1.75
O 0.9812 0.7940 0.3886  1 Br 1.75
O 0.9853 0.3890 0.2665  1 Br 1.69

Computed properties:
**Symmetry**: No. 15

---

10.
Here is an optimized crystal structure of Cd3BrO from the Alexandria database. Energies are from PBE.

Cell lengths 4.8522, 4.8522, 4.8522 Å; angles 90.00, 90.00, 90.00 degrees
Closest atoms and distances in Å follow each position.
Element x y z (fractional)
Cd 0.0000 0.0000 0.5000  2 O 2.43
Cd 0.0000 0.5000 0.0000  2 O 2.43
Cd 0.5000 0.0000 0.0000  2 O 2.43
Br 0.5000 0.5000 0.5000  12 Cd 3.43
O 0.0000 0.0000 0.0000  6 Cd 2.43

Computed properties:
**Symmetry**: No. 221

---

11.
Here is an optimized crystal structure of CdBr2O from the Alexandria database. Energies are from PBE.

Cell lengths 8.4889, 8.4889, 8.4889 Å; angles 31.19, 31.19, 31.19 degrees
Closest atoms and distances in Å follow each position.
Element x y z (fractional)
Cd 0.0000 0.0000 0.0000  2 Br 2.42
Br 0.1000 0.1000 0.1000  1 Cd 2.42
Br 0.9000 0.9000 0.9000  1 Cd 2.42
O 0.5000 0.5000 0.5000  6 Br 3.09

Computed properties:
**Symmetry**: No. 166

---

12.
Here is an optimized crystal structure of CdBr2O4 from the Alexandria database. Energies are from PBE.

Cell lengths 7.5274, 8.7459, 3.7091 Å; angles 90.00, 90.00, 90.00 degrees
Closest atoms and distances in Å follow each position.
Element x y z (fractional)
Cd 0.0000 0.0000 0.0000  2 O 2.20
Cd 0.5000 0.5000 0.5000  2 O 2.20
Br 0.2165 0.4100 0.0000  2 O 1.98-2.14
Br 0.2835 0.9100 0.5000  2 O 1.98-2.14
Br 0.7165 0.0900 0.5000  2 O 1.98-2.14
Br 0.7835 0.5900 0.0000  2 O 1.98-2.14
O 0.2190 0.1658 0.0000  2 O 1.92, 1 Br 2.14
O 0.2254 0.6364 0.0000  2 O 1.92, 1 Br 1.98
O 0.2746 0.1364 0.5000  2 O 1.92, 1 Br 1.98
O 0.2810 0.6658 0.5000  2 O 1.92, 1 Br 2.14
O 0.7190 0.3342 0.5000  2 O 1.92, 1 Br 2.14
O 0.7254 0.8636 0.5000  2 O 1.92, 1 Br 1.98
O 0.7746 0.3636 0.0000  2 O 1.92, 1 Br 1.98
O 0.7810 0.8342 0.0000  2 O 1.92, 1 Br 2.14

Computed properties:
**Symmetry**: No. 58

---

The following size of the total moment values (in μB/cell) correspond, in order, to the records above: 3.0 8.0 0.0 0.0 2.0 0.0 0.0 2.0 0.0 0.0 2.0 0.0.
The following raw total energy values (in eV/atom) correspond, in order, to the records above: -3.657 -3.975 -2.416 -2.751 -3.547 -2.708 -2.812 -2.031 -3.866 -2.089 -1.915 -3.150.
The following density values (in g cm⁻³) correspond, in order, to the records above: 5.01 4.98 5.08 5.64 4.26 6.58 4.92 5.65 3.82 6.30 3.29 4.57.